# 1
Compound: UTiSb
Source: Alexandria via LeMat-Bulk
Functional: PBE-GGA
Structure: optimized geometry

The space group is P-6m2 (No. 187) and the conventional cell measures 4.7389, 4.7389 and 3.5300 Å, with angles of 90.00, 90.00 and 120.00 degrees. The asymmetric unit holds U at (0.0000, 0.0000, 0.0000), Ti at (0.6667, 0.3333, 0.5000) and Sb at (0.3333, 0.6667, 0.5000).

=====

# 2
Compound: InSbPt2
Source: Alexandria via LeMat-Bulk
Functional: PBE-GGA
Structure: optimized geometry

The space group is Pbcm (No. 57) and the conventional cell measures 8.4543, 7.1614 and 5.5393 Å, with angles of 90.00, 90.00 and 90.00 degrees. The asymmetric unit holds In at (0.1208, 0.0928, 0.2500), Sb at (0.3708, 0.5795, 0.2500), Pt at (0.1328, 0.7500, 0.0000) and Pt at (0.3824, 0.2500, 0.0000).

=====

# 3
Compound: Sm4DyEr
Source: Alexandria via LeMat-Bulk
Functional: PBE-GGA
Structure: optimized geometry

The space group is P-1 (No. 2) and the conventional cell measures 3.5897, 6.2186 and 9.5033 Å, with angles of 77.34, 79.23 and 73.48 degrees. The asymmetric unit holds Sm at (0.1659, 0.0004, 0.1676), Sm at (0.1656, 0.5019, 0.6663), Dy at (0.5000, 0.5000, 0.0000) and Er at (0.5000, 0.0000, 0.5000).

The formation energy comes out at 16.4 meV/atom.

=====

| no. | raw total energy (eV per atom) |
| --- | --- |
| 1 | -7.768 |
| 2 | -5.241 |
| 3 | -4.657 |